# SrGeAu3 | the Open Quantum Materials Database | PBE | relaxed
data_SrGeAu3
_cell_length_a 6.377
_cell_length_b 6.377
_cell_length_c 5.606
_cell_angle_alpha 90.00
_cell_angle_beta 90.00
_cell_angle_gamma 90.00
_symmetry_space_group_name_H-M 'P 1'
_symmetry_Int_Tables_number 1
loop_
_symmetry_equiv_pos_as_xyz
'x,y,z'
loop_
_atom_site_label
_atom_site_type_symbol
_atom_site_fract_x
_atom_site_fract_y
_atom_site_fract_z
_atom_site_occupancy
Au1 Au 0.750 0.250 0.500 1
Au2 Au 0.000 0.500 0.823 1
Sr1 Sr 0.500 0.500 0.000 1
Au3 Au 0.500 0.000 0.177 1
Ge1 Ge 0.000 0.500 0.268 1
Au4 Au 0.250 0.250 0.500 1
Sr2 Sr 0.000 0.000 0.000 1
Ge2 Ge 0.500 0.000 0.732 1
Au5 Au 0.750 0.750 0.500 1
Au6 Au 0.250 0.750 0.500 1
# Uncorrected energy = -37.5 eV per cell
# V = 114 Å³/f.u.
# Space-group type = P4/nmm, No. 129


# SrGeAu | the Open Quantum Materials Database | PBE | relaxed
data_SrGeAu
_cell_length_a 5.061
_cell_length_b 5.061
_cell_length_c 5.061
_cell_angle_alpha 60.00
_cell_angle_beta 60.00
_cell_angle_gamma 60.00
_symmetry_space_group_name_H-M 'P 1'
_symmetry_Int_Tables_number 1
loop_
_symmetry_equiv_pos_as_xyz
'x,y,z'
loop_
_atom_site_label
_atom_site_type_symbol
_atom_site_fract_x
_atom_site_fract_y
_atom_site_fract_z
_atom_site_occupancy
Ge1 Ge 0.750 0.750 0.750 1
Sr1 Sr 0.000 0.000 0.000 1
Au1 Au 0.250 0.250 0.250 1
# Uncorrected energy = -9.2 eV per cell
# V = 92 Å³/f.u.
# Space-group type = F-43m, No. 216


# SrGeAu | the Open Quantum Materials Database | PBE | relaxed
data_SrGeAu
_cell_length_a 4.898
_cell_length_b 4.898
_cell_length_c 4.898
_cell_angle_alpha 60.00
_cell_angle_beta 60.00
_cell_angle_gamma 60.00
_symmetry_space_group_name_H-M 'P 1'
_symmetry_Int_Tables_number 1
loop_
_symmetry_equiv_pos_as_xyz
'x,y,z'
loop_
_atom_site_label
_atom_site_type_symbol
_atom_site_fract_x
_atom_site_fract_y
_atom_site_fract_z
_atom_site_occupancy
Sr1 Sr 0.750 0.750 0.750 1
Au1 Au 0.000 0.000 0.000 1
Ge1 Ge 0.250 0.250 0.250 1
# Uncorrected energy = -10.8 eV per cell
# V = 83 Å³/f.u.
# Space-group type = F-43m, No. 216


# SrGe2Au | the Open Quantum Materials Database | PBE | relaxed
data_SrGe2Au
_cell_length_a 5.087
_cell_length_b 5.087
_cell_length_c 5.087
_cell_angle_alpha 60.00
_cell_angle_beta 60.00
_cell_angle_gamma 60.00
_symmetry_space_group_name_H-M 'P 1'
_symmetry_Int_Tables_number 1
loop_
_symmetry_equiv_pos_as_xyz
'x,y,z'
loop_
_atom_site_label
_atom_site_type_symbol
_atom_site_fract_x
_atom_site_fract_y
_atom_site_fract_z
_atom_site_occupancy
Ge1 Ge 0.000 0.000 0.000 1
Au1 Au 0.250 0.250 0.250 1
Ge2 Ge 0.750 0.750 0.750 1
Sr1 Sr 0.500 0.500 0.500 1
# Uncorrected energy = -14.9 eV per cell
# V = 93 Å³/f.u.
# Space-group type = F-43m, No. 216


# SrZn2GeAu | the Open Quantum Materials Database | PBE | relaxed
data_SrZn2GeAu
_cell_length_a 6.398
_cell_length_b 6.398
_cell_length_c 6.398
_cell_angle_alpha 140.34
_cell_angle_beta 140.34
_cell_angle_gamma 57.34
_symmetry_space_group_name_H-M 'P 1'
_symmetry_Int_Tables_number 1
loop_
_symmetry_equiv_pos_as_xyz
'x,y,z'
loop_
_atom_site_label
_atom_site_type_symbol
_atom_site_fract_x
_atom_site_fract_y
_atom_site_fract_z
_atom_site_occupancy
Sr1 Sr 0.998 0.998 0.000 1
Ge1 Ge 0.381 0.381 0.000 1
Au1 Au 0.614 0.614 0.000 1
Zn1 Zn 0.254 0.754 0.500 1
Zn2 Zn 0.754 0.254 0.500 1
# Uncorrected energy = -14.5 eV per cell
# V = 106 Å³/f.u.
# Space-group type = I4mm, No. 107


# Ta2GeAu2 | the Open Quantum Materials Database | PBE | relaxed
data_Ta2GeAu2
_cell_length_a 3.769
_cell_length_b 3.769
_cell_length_c 7.550
_cell_angle_alpha 104.45
_cell_angle_beta 104.45
_cell_angle_gamma 90.00
_symmetry_space_group_name_H-M 'P 1'
_symmetry_Int_Tables_number 1
loop_
_symmetry_equiv_pos_as_xyz
'x,y,z'
loop_
_atom_site_label
_atom_site_type_symbol
_atom_site_fract_x
_atom_site_fract_y
_atom_site_fract_z
_atom_site_occupancy
Ta1 Ta 0.750 0.250 0.500 1
Au1 Au 0.402 0.402 0.805 1
Ge1 Ge 0.000 0.000 0.000 1
Au2 Au 0.598 0.598 0.195 1
Ta2 Ta 0.250 0.750 0.500 1
# Total magnetic moment = 0.00 μB/f.u.
# Uncorrected energy = -32.9 eV per cell
# V = 100 Å³/f.u.
# Space-group type = I4/mmm, No. 139


# Tb2GeAu | the Open Quantum Materials Database | PBE | relaxed
data_Tb2GeAu
_cell_length_a 4.334
_cell_length_b 5.852
_cell_length_c 5.852
_cell_angle_alpha 40.67
_cell_angle_beta 90.00
_cell_angle_gamma 90.00
_symmetry_space_group_name_H-M 'P 1'
_symmetry_Int_Tables_number 1
loop_
_symmetry_equiv_pos_as_xyz
'x,y,z'
loop_
_atom_site_label
_atom_site_type_symbol
_atom_site_fract_x
_atom_site_fract_y
_atom_site_fract_z
_atom_site_occupancy
Tb1 Tb 0.000 0.862 0.862 1
Ge1 Ge 0.500 0.413 0.413 1
Au1 Au 0.000 0.586 0.586 1
Tb2 Tb 0.500 0.139 0.139 1
# Total magnetic moment = 0.00 μB/f.u.
# Uncorrected energy = -20.6 eV per cell
# V = 97 Å³/f.u.
# Space-group type = Amm2, No. 38


# TcGeAu | the Open Quantum Materials Database | PBE | relaxed
data_TcGeAu
_cell_length_a 4.204
_cell_length_b 4.204
_cell_length_c 4.204
_cell_angle_alpha 60.00
_cell_angle_beta 60.00
_cell_angle_gamma 60.00
_symmetry_space_group_name_H-M 'P 1'
_symmetry_Int_Tables_number 1
loop_
_symmetry_equiv_pos_as_xyz
'x,y,z'
loop_
_atom_site_label
_atom_site_type_symbol
_atom_site_fract_x
_atom_site_fract_y
_atom_site_fract_z
_atom_site_occupancy
Ge1 Ge 0.000 0.000 0.000 1
Au1 Au 0.250 0.250 0.250 1
Tc1 Tc 0.750 0.750 0.750 1
# Total magnetic moment = 0.02 μB/f.u.
# V = 53 Å³/f.u.
# Space-group type = F-43m, No. 216
# ΔE to the lowest computed polymorph = 0 meV per atom


# TcGeAu2 | the Open Quantum Materials Database | PBE | relaxed
data_TcGeAu2
_cell_length_a 4.549
_cell_length_b 4.549
_cell_length_c 4.549
_cell_angle_alpha 60.00
_cell_angle_beta 60.00
_cell_angle_gamma 60.00
_symmetry_space_group_name_H-M 'P 1'
_symmetry_Int_Tables_number 1
loop_
_symmetry_equiv_pos_as_xyz
'x,y,z'
loop_
_atom_site_label
_atom_site_type_symbol
_atom_site_fract_x
_atom_site_fract_y
_atom_site_fract_z
_atom_site_occupancy
Ge1 Ge 0.500 0.500 0.500 1
Au1 Au 0.000 0.000 0.000 1
Tc1 Tc 0.250 0.250 0.250 1
Au2 Au 0.750 0.750 0.750 1
# Total magnetic moment = 0.13 μB/f.u.
# Uncorrected energy = -20.2 eV per cell
# V = 67 Å³/f.u.
# Space-group type = F-43m, No. 216


# TcGe2Au2 | the Open Quantum Materials Database | PBE | relaxed
data_TcGe2Au2
_cell_length_a 6.749
_cell_length_b 6.749
_cell_length_c 6.749
_cell_angle_alpha 147.03
_cell_angle_beta 147.03
_cell_angle_gamma 47.31
_symmetry_space_group_name_H-M 'P 1'
_symmetry_Int_Tables_number 1
loop_
_symmetry_equiv_pos_as_xyz
'x,y,z'
loop_
_atom_site_label
_atom_site_type_symbol
_atom_site_fract_x
_atom_site_fract_y
_atom_site_fract_z
_atom_site_occupancy
Ge1 Ge 0.250 0.750 0.500 1
Au1 Au 0.605 0.605 0.000 1
Tc1 Tc 0.000 0.000 0.000 1
Au2 Au 0.395 0.395 0.000 1
Ge2 Ge 0.750 0.250 0.500 1
# Total magnetic moment = 3.02 μB/f.u.
# V = 91 Å³/f.u.
# Space-group type = I4/mmm, No. 139
# ΔE to the lowest computed polymorph = 67 meV per atom


# TcGe2Au2 | the Open Quantum Materials Database | PBE | relaxed
data_TcGe2Au2
_cell_length_a 6.761
_cell_length_b 6.761
_cell_length_c 6.761
_cell_angle_alpha 147.13
_cell_angle_beta 147.13
_cell_angle_gamma 47.17
_symmetry_space_group_name_H-M 'P 1'
_symmetry_Int_Tables_number 1
loop_
_symmetry_equiv_pos_as_xyz
'x,y,z'
loop_
_atom_site_label
_atom_site_type_symbol
_atom_site_fract_x
_atom_site_fract_y
_atom_site_fract_z
_atom_site_occupancy
Ge1 Ge 0.404 0.404 0.000 1
Au1 Au 0.250 0.750 0.500 1
Au2 Au 0.750 0.250 0.500 1
Tc1 Tc 0.000 0.000 0.000 1
Ge2 Ge 0.596 0.596 0.000 1
# Total magnetic moment = 2.07 μB/f.u.
# V = 91 Å³/f.u.
# Space-group type = I4/mmm, No. 139
# ΔE to the lowest computed polymorph = 0 meV per atom


# Ge2TeAu2 | the Open Quantum Materials Database | PBE | relaxed
data_Ge2TeAu2
_cell_length_a 6.627
_cell_length_b 6.627
_cell_length_c 6.627
_cell_angle_alpha 141.77
_cell_angle_beta 141.77
_cell_angle_gamma 55.17
_symmetry_space_group_name_H-M 'P 1'
_symmetry_Int_Tables_number 1
loop_
_symmetry_equiv_pos_as_xyz
'x,y,z'
loop_
_atom_site_label
_atom_site_type_symbol
_atom_site_fract_x
_atom_site_fract_y
_atom_site_fract_z
_atom_site_occupancy
Te1 Te 0.000 0.000 0.000 1
Au1 Au 0.250 0.750 0.500 1
Au2 Au 0.750 0.250 0.500 1
Ge1 Ge 0.612 0.612 0.000 1
Ge2 Ge 0.388 0.388 0.000 1
# Uncorrected energy = -18.2 eV per cell
# V = 111 Å³/f.u.
# Space-group type = I4/mmm, No. 139